No. 1
Density functional theory data (PBE-GGA) for an optimized crystal structure of TaFeAsPd.

a = 4.412 Å, b = 4.412 Å, c = 4.412 Å
α = 60.00°, β = 60.00°, γ = 60.00°
Element x y z (fractional)
Fe (0.750, 0.750, 0.750)
Ta (0.250, 0.250, 0.250)
Pd (0.500, 0.500, 0.500)
As (0.000, 0.000, 0.000)

The calculated density is 11.44 g cm⁻³. Its magnetic moment is 2.073 μB per formula unit. As for the crystal system: cubic. The energy relative to the lowest polymorph listed for this composition is 0.0 kJ/mol of formula units.


No. 2
Density functional theory data (PBE-GGA) for an optimized crystal structure of Si2TeIr.

a = 4.624 Å, b = 4.624 Å, c = 4.624 Å
α = 60.00°, β = 60.00°, γ = 60.00°
Element x y z (fractional)
Te (0.750, 0.750, 0.750)
Si (0.250, 0.250, 0.250)
Si (0.000, 0.000, 0.000)
Ir (0.500, 0.500, 0.500)

The calculated density is 8.93 g cm⁻³. Its magnetic moment is 0.001 μB per formula unit. As for the crystal system: cubic. Its uncorrected energy is -20.673 eV/f.u.


No. 3
Density functional theory data (PBE-GGA) for an optimized crystal structure of Tb4PtAu3.

a = 3.769 Å, b = 4.647 Å, c = 10.817 Å
α = 90.00°, β = 90.00°, γ = 90.00°
Element x y z (fractional)
Tb (0.000, 0.000, 0.136)
Tb (0.500, 0.500, 0.353)
Tb (0.000, 0.500, 0.870)
Tb (0.500, 0.000, 0.639)
Au (0.500, 0.000, 0.913)
Au (0.000, 0.000, 0.412)
Au (0.000, 0.500, 0.589)
Pt (0.500, 0.500, 0.088)

The calculated density is 12.46 g cm⁻³. Its magnetic moment is 0.006 μB per formula unit. As for the crystal system: orthorhombic. For the formation energy, the calculation gives -0.98 eV/atom.